Model 1:
# MgNi2Sn

MgNi2Sn after structural relaxation (GGA-PBE, OQMD).

Geometry as CIF:
```
data_MgNi2Sn
_chemical_formula_sum 'Mg1 Ni2 Sn1'
_cell_length_a 4.248
_cell_length_b 4.248
_cell_length_c 3.256
_cell_angle_alpha 90.00
_cell_angle_beta 90.00
_cell_angle_gamma 90.00
_space_group_name_H-M_alt 'P 4/m m m'
_space_group_IT_number 123
_space_group_name_Hall '-P 4 2'
loop_
_atom_site_label
_atom_site_fract_x
_atom_site_fract_y
_atom_site_fract_z
Mg1 0.000 0.000 0.000
Ni1 0.000 0.500 0.500
Sn1 0.500 0.500 0.000
```



Model 2:
# MgNi2Sn

MgNi2Sn after structural relaxation (GGA-PBE, OQMD).

Geometry as CIF:
```
data_MgNi2Sn
_chemical_formula_sum 'Mg4 Ni8 Sn4'
_cell_length_a 6.154
_cell_length_b 6.154
_cell_length_c 6.154
_cell_angle_alpha 90.00
_cell_angle_beta 90.00
_cell_angle_gamma 90.00
_space_group_name_H-M_alt 'F m -3 m'
_space_group_IT_number 225
_space_group_name_Hall '-F 4 2 3'
loop_
_atom_site_label
_atom_site_fract_x
_atom_site_fract_y
_atom_site_fract_z
Mg1 0.000 0.000 0.000
Ni1 0.250 0.250 0.250
Sn1 0.000 0.000 0.500
```



Model 3:
# MgNi2Sn

MgNi2Sn after structural relaxation (GGA-PBE, OQMD).

Geometry as CIF:
```
data_MgNi2Sn
_chemical_formula_sum 'Mg2 Ni4 Sn2'
_cell_length_a 4.2708
_cell_length_b 4.2708
_cell_length_c 7.8980
_cell_angle_alpha 90.00
_cell_angle_beta 90.00
_cell_angle_gamma 120.00
_space_group_name_H-M_alt 'P 63/m m c'
_space_group_IT_number 194
_space_group_name_Hall '-P 6c 2c'
loop_
_atom_site_label
_atom_site_fract_x
_atom_site_fract_y
_atom_site_fract_z
Mg1 0.3333 0.6667 0.2500
Ni1 0.3333 0.6667 0.5882
Sn1 0.0000 0.0000 0.0000
```



Model 4:
# MgNi2Sn

MgNi2Sn after structural relaxation (GGA-PBE, OQMD).

Geometry as CIF:
```
data_MgNi2Sn
_chemical_formula_sum 'Mg4 Ni8 Sn4'
_cell_length_a 6.208
_cell_length_b 6.208
_cell_length_c 6.208
_cell_angle_alpha 90.00
_cell_angle_beta 90.00
_cell_angle_gamma 90.00
_space_group_name_H-M_alt 'F -4 3 m'
_space_group_IT_number 216
_space_group_name_Hall 'F -4 2 3'
loop_
_atom_site_label
_atom_site_fract_x
_atom_site_fract_y
_atom_site_fract_z
Mg1 0.000 0.000 0.000
Ni1 0.000 0.000 0.500
Ni2 0.250 0.250 0.750
Sn1 0.250 0.250 0.250
```



Least stable: model 4



Model 1:
# MgNi2Sn

MgNi2Sn after structural relaxation (GGA-PBE, OQMD).

Geometry as CIF:
```
data_MgNi2Sn
_chemical_formula_sum 'Mg2 Ni4 Sn2'
_cell_length_a 4.354
_cell_length_b 4.354
_cell_length_c 6.182
_cell_angle_alpha 90.00
_cell_angle_beta 90.00
_cell_angle_gamma 90.00
_space_group_name_H-M_alt 'I 4/m m m'
_space_group_IT_number 139
_space_group_name_Hall '-I 4 2'
loop_
_atom_site_label
_atom_site_fract_x
_atom_site_fract_y
_atom_site_fract_z
Mg1 0.000 0.000 0.000
Ni1 0.000 0.500 0.250
Sn1 0.000 0.000 0.500
```



Model 2:
# MgNi2Sn

MgNi2Sn after structural relaxation (GGA-PBE, OQMD).

Geometry as CIF:
```
data_MgNi2Sn
_chemical_formula_sum 'Mg4 Ni8 Sn4'
_cell_length_a 6.010
_cell_length_b 6.537
_cell_length_c 6.011
_cell_angle_alpha 90.00
_cell_angle_beta 90.00
_cell_angle_gamma 90.00
_space_group_name_H-M_alt 'I m m a'
_space_group_IT_number 74
_space_group_name_Hall '-I 2b 2'
loop_
_atom_site_label
_atom_site_fract_x
_atom_site_fract_y
_atom_site_fract_z
Mg1 0.000 0.250 0.000
Ni1 0.250 0.001 0.250
Sn1 0.000 0.250 0.501
```



Least stable: model 2



Model 1:
# TmMgNi4Sn2

TmMgNi4Sn2 after structural relaxation (GGA-PBE, OQMD).

Geometry as CIF:
```
data_TmMgNi4Sn2
_chemical_formula_sum 'Tm1 Mg1 Ni4 Sn2'
_cell_length_a 4.3072
_cell_length_b 4.3072
_cell_length_c 8.2338
_cell_angle_alpha 90.00
_cell_angle_beta 90.00
_cell_angle_gamma 120.00
_space_group_name_H-M_alt 'P -6 m 2'
_space_group_IT_number 187
_space_group_name_Hall 'P -6 2'
loop_
_atom_site_label
_atom_site_fract_x
_atom_site_fract_y
_atom_site_fract_z
Tm1 0.0000 0.0000 0.0000
Mg1 0.6667 0.3333 0.5000
Ni1 0.0000 0.0000 0.3444
Ni2 0.6667 0.3333 0.1699
Sn1 0.3333 0.6667 0.2640
```



Model 2:
# TmMgNi4Sn2

TmMgNi4Sn2 after structural relaxation (GGA-PBE, OQMD).

Geometry as CIF:
```
data_TmMgNi4Sn2
_chemical_formula_sum 'Tm1 Mg1 Ni4 Sn2'
_cell_length_a 4.4239
_cell_length_b 4.4239
_cell_length_c 7.6366
_cell_angle_alpha 90.00
_cell_angle_beta 90.00
_cell_angle_gamma 120.00
_space_group_name_H-M_alt 'P -3 m 1'
_space_group_IT_number 164
_space_group_name_Hall '-P 3 2"'
loop_
_atom_site_label
_atom_site_fract_x
_atom_site_fract_y
_atom_site_fract_z
Tm1 0.0000 0.0000 0.0000
Mg1 0.0000 0.0000 0.5000
Ni1 0.3333 0.6667 0.0931
Ni2 0.3333 0.6667 0.4092
Sn1 0.3333 0.6667 0.7431
```



Least stable: model 2



Model 1:
# MgTaTlNi

MgTaTlNi after structural relaxation (GGA-PBE, OQMD).

Geometry as CIF:
```
data_MgTaTlNi
_chemical_formula_sum 'Mg4 Ta4 Tl4 Ni4'
_cell_length_a 6.506
_cell_length_b 6.506
_cell_length_c 6.506
_cell_angle_alpha 90.00
_cell_angle_beta 90.00
_cell_angle_gamma 90.00
_space_group_name_H-M_alt 'F -4 3 m'
_space_group_IT_number 216
_space_group_name_Hall 'F -4 2 3'
loop_
_atom_site_label
_atom_site_fract_x
_atom_site_fract_y
_atom_site_fract_z
Mg1 0.000 0.000 0.000
Ta1 0.250 0.250 0.750
Tl1 0.250 0.250 0.250
Ni1 0.000 0.000 0.500
```



Model 2:
# MgTaTlNi

MgTaTlNi after structural relaxation (GGA-PBE, OQMD).

Geometry as CIF:
```
data_MgTaTlNi
_chemical_formula_sum 'Mg4 Ta4 Tl4 Ni4'
_cell_length_a 6.579
_cell_length_b 6.579
_cell_length_c 6.579
_cell_angle_alpha 90.00
_cell_angle_beta 90.00
_cell_angle_gamma 90.00
_space_group_name_H-M_alt 'F -4 3 m'
_space_group_IT_number 216
_space_group_name_Hall 'F -4 2 3'
loop_
_atom_site_label
_atom_site_fract_x
_atom_site_fract_y
_atom_site_fract_z
Mg1 0.000 0.000 0.000
Ta1 0.250 0.250 0.250
Tl1 0.000 0.000 0.500
Ni1 0.250 0.250 0.750
```



Least stable: model 2



Model 1:
# MgNpTc

MgNpTc after structural relaxation (GGA-PBE, OQMD).

Geometry as CIF:
```
data_MgNpTc
_chemical_formula_sum 'Mg4 Np4 Tc4'
_cell_length_a 6.392
_cell_length_b 6.392
_cell_length_c 6.392
_cell_angle_alpha 90.00
_cell_angle_beta 90.00
_cell_angle_gamma 90.00
_space_group_name_H-M_alt 'F -4 3 m'
_space_group_IT_number 216
_space_group_name_Hall 'F -4 2 3'
loop_
_atom_site_label
_atom_site_fract_x
_atom_site_fract_y
_atom_site_fract_z
Mg1 0.000 0.000 0.000
Np1 0.250 0.250 0.250
Tc1 0.000 0.000 0.500
```



Model 2:
# MgNpTc

MgNpTc after structural relaxation (GGA-PBE, OQMD).

Geometry as CIF:
```
data_MgNpTc
_chemical_formula_sum 'Mg4 Np4 Tc4'
_cell_length_a 6.398
_cell_length_b 6.398
_cell_length_c 6.398
_cell_angle_alpha 90.00
_cell_angle_beta 90.00
_cell_angle_gamma 90.00
_space_group_name_H-M_alt 'F -4 3 m'
_space_group_IT_number 216
_space_group_name_Hall 'F -4 2 3'
loop_
_atom_site_label
_atom_site_fract_x
_atom_site_fract_y
_atom_site_fract_z
Mg1 0.000 0.000 0.000
Np1 0.250 0.250 0.750
Tc1 0.250 0.250 0.250
```



Least stable: model 1



Model 1:
# MgPaPO

MgPaPO after structural relaxation (GGA-PBE, OQMD).

Geometry as CIF:
```
data_MgPaPO
_chemical_formula_sum 'Mg2 Pa2 P2 O2'
_cell_length_a 3.977
_cell_length_b 3.977
_cell_length_c 8.878
_cell_angle_alpha 90.00
_cell_angle_beta 90.00
_cell_angle_gamma 90.00
_space_group_name_H-M_alt 'P 4/n m m'
_space_group_IT_number 129
loop_
_space_group_symop_operation_xyz
'x,y,z'
'-x,-y,-z'
'-y+1/2,x,z'
'y+1/2,-x,-z'
'-x+1/2,-y+1/2,z'
'x+1/2,y+1/2,-z'
'y,-x+1/2,z'
'-y,x+1/2,-z'
'x+1/2,-y,-z'
'-x+1/2,y,z'
'-y,-x,-z'
'y,x,z'
'-x,y+1/2,-z'
'x,-y+1/2,z'
'y+1/2,x+1/2,-z'
'-y+1/2,-x+1/2,z'
loop_
_atom_site_label
_atom_site_fract_x
_atom_site_fract_y
_atom_site_fract_z
Mg1 0.250 0.750 0.000
Pa1 0.250 0.250 0.350
P1 0.250 0.250 0.810
O1 0.250 0.750 0.500
```



Model 2:
# MgPaPO

MgPaPO after structural relaxation (GGA-PBE, OQMD).

Geometry as CIF:
```
data_MgPaPO
_chemical_formula_sum 'Mg2 Pa2 P2 O2'
_cell_length_a 4.192
_cell_length_b 4.192
_cell_length_c 9.493
_cell_angle_alpha 90.00
_cell_angle_beta 90.00
_cell_angle_gamma 90.00
_space_group_name_H-M_alt 'P 4/n m m'
_space_group_IT_number 129
loop_
_space_group_symop_operation_xyz
'x,y,z'
'-x,-y,-z'
'-y+1/2,x,z'
'y+1/2,-x,-z'
'-x+1/2,-y+1/2,z'
'x+1/2,y+1/2,-z'
'y,-x+1/2,z'
'-y,x+1/2,-z'
'x+1/2,-y,-z'
'-x+1/2,y,z'
'-y,-x,-z'
'y,x,z'
'-x,y+1/2,-z'
'x,-y+1/2,z'
'y+1/2,x+1/2,-z'
'-y+1/2,-x+1/2,z'
loop_
_atom_site_label
_atom_site_fract_x
_atom_site_fract_y
_atom_site_fract_z
Mg1 0.250 0.250 0.001
Pa1 0.250 0.750 0.500
P1 0.250 0.250 0.695
O1 0.250 0.750 0.000
```



Least stable: model 2



Model 1:
# MgPaPO

MgPaPO after structural relaxation (GGA-PBE, OQMD).

Geometry as CIF:
```
data_MgPaPO
_chemical_formula_sum 'Mg2 Pa2 P2 O2'
_cell_length_a 4.589
_cell_length_b 5.949
_cell_length_c 5.813
_cell_angle_alpha 90.00
_cell_angle_beta 90.00
_cell_angle_gamma 90.00
_space_group_name_H-M_alt 'P m c 21'
_space_group_IT_number 26
loop_
_space_group_symop_operation_xyz
'x,y,z'
'-x,-y,z+1/2'
'-x,y,z'
'x,-y,z+1/2'
loop_
_atom_site_label
_atom_site_fract_x
_atom_site_fract_y
_atom_site_fract_z
Mg1 0.000 0.139 0.000
Pa1 0.500 0.267 0.387
P1 0.500 0.255 0.880
O1 0.000 0.167 0.350
```



Model 2:
# MgPaPO

MgPaPO after structural relaxation (GGA-PBE, OQMD).

Geometry as CIF:
```
data_MgPaPO
_chemical_formula_sum 'Mg2 Pa2 P2 O2'
_cell_length_a 3.754
_cell_length_b 5.885
_cell_length_c 7.037
_cell_angle_alpha 90.00
_cell_angle_beta 90.00
_cell_angle_gamma 90.00
_space_group_name_H-M_alt 'P m c 21'
_space_group_IT_number 26
loop_
_space_group_symop_operation_xyz
'x,y,z'
'-x,-y,z+1/2'
'-x,y,z'
'x,-y,z+1/2'
loop_
_atom_site_label
_atom_site_fract_x
_atom_site_fract_y
_atom_site_fract_z
Mg1 0.000 0.116 0.000
Pa1 0.500 0.435 0.648
P1 0.000 0.283 0.355
O1 0.500 0.247 0.942
```



Least stable: model 2



Model 1:
# MgPPdO

MgPPdO after structural relaxation (GGA-PBE, OQMD).

Geometry as CIF:
```
data_MgPPdO
_chemical_formula_sum 'Mg2 P2 Pd2 O2'
_cell_length_a 2.946
_cell_length_b 7.049
_cell_length_c 5.306
_cell_angle_alpha 90.00
_cell_angle_beta 90.00
_cell_angle_gamma 90.00
_space_group_name_H-M_alt 'P m c 21'
_space_group_IT_number 26
loop_
_space_group_symop_operation_xyz
'x,y,z'
'-x,-y,z+1/2'
'-x,y,z'
'x,-y,z+1/2'
loop_
_atom_site_label
_atom_site_fract_x
_atom_site_fract_y
_atom_site_fract_z
Mg1 0.000 0.081 0.000
P1 0.000 0.493 0.222
Pd1 0.500 0.292 0.498
O1 0.500 0.007 0.253
```



Model 2:
# MgPPdO

MgPPdO after structural relaxation (GGA-PBE, OQMD).

Geometry as CIF:
```
data_MgPPdO
_chemical_formula_sum 'Mg2 P2 Pd2 O2'
_cell_length_a 4.340
_cell_length_b 4.340
_cell_length_c 7.659
_cell_angle_alpha 90.00
_cell_angle_beta 90.00
_cell_angle_gamma 90.00
_space_group_name_H-M_alt 'P 4/n m m'
_space_group_IT_number 129
loop_
_space_group_symop_operation_xyz
'x,y,z'
'-x,-y,-z'
'-y+1/2,x,z'
'y+1/2,-x,-z'
'-x+1/2,-y+1/2,z'
'x+1/2,y+1/2,-z'
'y,-x+1/2,z'
'-y,x+1/2,-z'
'x+1/2,-y,-z'
'-x+1/2,y,z'
'-y,-x,-z'
'y,x,z'
'-x,y+1/2,-z'
'x,-y+1/2,z'
'y+1/2,x+1/2,-z'
'-y+1/2,-x+1/2,z'
loop_
_atom_site_label
_atom_site_fract_x
_atom_site_fract_y
_atom_site_fract_z
Mg1 0.250 0.750 0.000
P1 0.250 0.250 0.165
Pd1 0.250 0.250 0.463
O1 0.250 0.750 0.500
```



Least stable: model 2



Model 1:
# MgPPdO

MgPPdO after structural relaxation (GGA-PBE, OQMD).

Geometry as CIF:
```
data_MgPPdO
_chemical_formula_sum 'Mg2 P2 Pd2 O2'
_cell_length_a 4.010
_cell_length_b 4.010
_cell_length_c 8.466
_cell_angle_alpha 90.00
_cell_angle_beta 90.00
_cell_angle_gamma 90.00
_space_group_name_H-M_alt 'P 4/n m m'
_space_group_IT_number 129
loop_
_space_group_symop_operation_xyz
'x,y,z'
'-x,-y,-z'
'-y+1/2,x,z'
'y+1/2,-x,-z'
'-x+1/2,-y+1/2,z'
'x+1/2,y+1/2,-z'
'y,-x+1/2,z'
'-y,x+1/2,-z'
'x+1/2,-y,-z'
'-x+1/2,y,z'
'-y,-x,-z'
'y,x,z'
'-x,y+1/2,-z'
'x,-y+1/2,z'
'y+1/2,x+1/2,-z'
'-y+1/2,-x+1/2,z'
loop_
_atom_site_label
_atom_site_fract_x
_atom_site_fract_y
_atom_site_fract_z
Mg1 0.250 0.250 0.008
P1 0.250 0.250 0.351
Pd1 0.250 0.750 0.500
O1 0.250 0.750 0.000
```



Model 2:
# MgPPdO

MgPPdO after structural relaxation (GGA-PBE, OQMD).

Geometry as CIF:
```
data_MgPPdO
_chemical_formula_sum 'Mg2 P2 Pd2 O2'
_cell_length_a 3.344
_cell_length_b 7.058
_cell_length_c 5.565
_cell_angle_alpha 90.00
_cell_angle_beta 90.00
_cell_angle_gamma 90.00
_space_group_name_H-M_alt 'P m c 21'
_space_group_IT_number 26
loop_
_space_group_symop_operation_xyz
'x,y,z'
'-x,-y,z+1/2'
'-x,y,z'
'x,-y,z+1/2'
loop_
_atom_site_label
_atom_site_fract_x
_atom_site_fract_y
_atom_site_fract_z
Mg1 0.000 0.134 0.000
P1 0.500 0.398 0.848
Pd1 0.500 0.301 0.464
O1 0.000 0.103 0.339
```



Least stable: model 2



Model 1:
# MgPPtO

MgPPtO after structural relaxation (GGA-PBE, OQMD).

Geometry as CIF:
```
data_MgPPtO
_chemical_formula_sum 'Mg2 P2 Pt2 O2'
_cell_length_a 4.286
_cell_length_b 4.286
_cell_length_c 7.252
_cell_angle_alpha 90.00
_cell_angle_beta 90.00
_cell_angle_gamma 90.00
_space_group_name_H-M_alt 'P 4/n m m'
_space_group_IT_number 129
loop_
_space_group_symop_operation_xyz
'x,y,z'
'-x,-y,-z'
'-y+1/2,x,z'
'y+1/2,-x,-z'
'-x+1/2,-y+1/2,z'
'x+1/2,y+1/2,-z'
'y,-x+1/2,z'
'-y,x+1/2,-z'
'x+1/2,-y,-z'
'-x+1/2,y,z'
'-y,-x,-z'
'y,x,z'
'-x,y+1/2,-z'
'x,-y+1/2,z'
'y+1/2,x+1/2,-z'
'-y+1/2,-x+1/2,z'
loop_
_atom_site_label
_atom_site_fract_x
_atom_site_fract_y
_atom_site_fract_z
Mg1 0.250 0.750 0.000
P1 0.250 0.250 0.486
Pt1 0.250 0.250 0.801
O1 0.250 0.750 0.500
```



Model 2:
# MgPPtO

MgPPtO after structural relaxation (GGA-PBE, OQMD).

Geometry as CIF:
```
data_MgPPtO
_chemical_formula_sum 'Mg2 P2 Pt2 O2'
_cell_length_a 4.018
_cell_length_b 4.018
_cell_length_c 8.546
_cell_angle_alpha 90.00
_cell_angle_beta 90.00
_cell_angle_gamma 90.00
_space_group_name_H-M_alt 'P 4/n m m'
_space_group_IT_number 129
loop_
_space_group_symop_operation_xyz
'x,y,z'
'-x,-y,-z'
'-y+1/2,x,z'
'y+1/2,-x,-z'
'-x+1/2,-y+1/2,z'
'x+1/2,y+1/2,-z'
'y,-x+1/2,z'
'-y,x+1/2,-z'
'x+1/2,-y,-z'
'-x+1/2,y,z'
'-y,-x,-z'
'y,x,z'
'-x,y+1/2,-z'
'x,-y+1/2,z'
'y+1/2,x+1/2,-z'
'-y+1/2,-x+1/2,z'
loop_
_atom_site_label
_atom_site_fract_x
_atom_site_fract_y
_atom_site_fract_z
Mg1 0.250 0.250 0.006
P1 0.250 0.250 0.349
Pt1 0.250 0.750 0.500
O1 0.250 0.750 0.000
```



Model 3:
# MgPPtO

MgPPtO after structural relaxation (GGA-PBE, OQMD).

Geometry as CIF:
```
data_MgPPtO
_chemical_formula_sum 'Mg2 P2 Pt2 O2'
_cell_length_a 3.146
_cell_length_b 6.929
_cell_length_c 5.468
_cell_angle_alpha 90.00
_cell_angle_beta 90.00
_cell_angle_gamma 90.00
_space_group_name_H-M_alt 'P m c 21'
_space_group_IT_number 26
loop_
_space_group_symop_operation_xyz
'x,y,z'
'-x,-y,z+1/2'
'-x,y,z'
'x,-y,z+1/2'
loop_
_atom_site_label
_atom_site_fract_x
_atom_site_fract_y
_atom_site_fract_z
Mg1 0.000 0.166 0.000
P1 0.000 0.462 0.587
Pt1 0.500 0.228 0.585
O1 0.500 0.069 0.165
```



Model 4:
# MgPPtO

MgPPtO after structural relaxation (GGA-PBE, OQMD).

Geometry as CIF:
```
data_MgPPtO
_chemical_formula_sum 'Mg2 P2 Pt2 O2'
_cell_length_a 3.249
_cell_length_b 8.225
_cell_length_c 4.443
_cell_angle_alpha 90.00
_cell_angle_beta 90.00
_cell_angle_gamma 90.00
_space_group_name_H-M_alt 'P m c 21'
_space_group_IT_number 26
loop_
_space_group_symop_operation_xyz
'x,y,z'
'-x,-y,z+1/2'
'-x,y,z'
'x,-y,z+1/2'
loop_
_atom_site_label
_atom_site_fract_x
_atom_site_fract_y
_atom_site_fract_z
Mg1 0.000 0.126 0.000
P1 0.500 0.396 0.987
Pt1 0.500 0.330 0.488
O1 0.000 0.109 0.490
```



Least stable: model 1